GaHRh3 | PBEsol | optimized geometry

The structure in POSCAR format:
```
GaHRh3
1.0
-3.7995 0.5456 -0.1008
-0.0047 -0.7287 -3.7700
-0.5549 -3.7303 0.7217
Rh H Ga
3 1 1
Direct
0.0000 0.5000 0.0000 Rh
0.5000 0.0000 0.0000 Rh
0.0000 0.0000 0.5000 Rh
0.0000 0.0000 0.0000 H
0.5000 0.5000 0.5000 Ga
```

## Properties
- relative energy among the computed polymorphs (meV per atom) = 19

YCoBi2Te | PBEsol | optimized geometry

The structure in POSCAR format:
```
YCoBi2Te
1.0
-3.9264 0.8776 2.9018
0.4462 -4.5291 1.9736
3.2117 1.9527 3.7551
Bi Co Te Y
2 1 1 1
Direct
0.5000 0.0000 0.0000 Bi
0.0000 0.5000 0.0000 Bi
0.0000 0.0000 0.0000 Co
0.0000 0.0000 0.5000 Te
0.5000 0.5000 0.5000 Y
```

## Properties
- ΔE_f (raw) (eV per atom) = 0.003

Ta2FeSb | PBEsol | optimized geometry

The structure in POSCAR format:
```
Ta2FeSb
1.0
4.5282 0.0000 0.0000
2.2641 3.9215 0.0000
2.2641 1.3072 3.6973
Ta Sb Fe
2 1 1
Direct
0.0000 0.0000 0.0000 Ta
0.2500 0.2500 0.2500 Ta
0.7500 0.7500 0.7500 Sb
0.5000 0.5000 0.5000 Fe
```

## Properties
- ΔE_f (raw) (eV per atom) = 0.301

La2MgTl | PBEsol | optimized geometry

The structure in POSCAR format:
```
La2MgTl
1.0
-3.5863 -0.5602 -0.3250
0.5230 -0.4811 -4.9426
2.7256 -6.0779 0.8800
La Tl Mg
2 1 1
Direct
0.0420 0.0000 0.9587 La
0.7067 0.5000 0.2884 La
0.4403 0.5000 0.7556 Tl
0.3111 0.0000 0.4974 Mg
```

## Properties
- relative energy among the computed polymorphs (meV per atom) = 47
- energy relative to the elements (eV/atom) = -0.247

CaPt2 | PBEsol | optimized geometry

The structure in POSCAR format:
```
CaPt2
1.0
-4.6646 -1.2822 -2.3308
-1.1507 -5.1375 -1.0565
-3.8030 -2.5343 2.8194
Pt Ca
4 2
Direct
0.1250 0.1250 0.6250 Pt
0.1250 0.6250 0.1250 Pt
0.1250 0.1250 0.1250 Pt
0.6250 0.1250 0.1250 Pt
0.7500 0.7500 0.7500 Ca
0.5000 0.5000 0.5000 Ca
```

## Properties
- energy relative to the elements (eV/atom) = -0.916

CsW3N | PBEsol | optimized geometry

The structure in POSCAR format:
```
CsW3N
1.0
-1.8032 -2.8535 2.6461
3.6170 -2.3048 -0.0207
1.4357 2.2228 3.3754
Cs W N
1 3 1
Direct
0.5000 0.5000 0.5000 Cs
0.0000 0.0000 0.5000 W
0.0000 0.5000 0.0000 W
0.5000 0.0000 0.0000 W
0.0000 0.0000 0.0000 N
```

## Properties
- ΔE_f (raw) (eV per atom) = 1.591

What did the fourth record say?
La2MgTl | PBEsol | optimized geometry

The structure in POSCAR format:
```
La2MgTl
1.0
-3.5863 -0.5602 -0.3250
0.5230 -0.4811 -4.9426
2.7256 -6.0779 0.8800
La Tl Mg
2 1 1
Direct
0.0420 0.0000 0.9587 La
0.7067 0.5000 0.2884 La
0.4403 0.5000 0.7556 Tl
0.3111 0.0000 0.4974 Mg
```

## Properties
- relative energy among the computed polymorphs (meV per atom) = 47
- energy relative to the elements (eV/atom) = -0.247